--- 1 ---
Material: RbTlSn3
Method: DFT, GGA-PBE
State: optimized geometry

Results
- total moment (μB per cell) = 0.00

Lattice parameters (Å, degrees): 9.876 9.117 9.823 120.06 90.00 90.00
Fractional positions:
1 Rb 0.137 0.617 0.204
2 Rb 0.863 0.383 0.796
3 Rb 0.637 0.383 0.296
4 Rb 0.363 0.617 0.704
5 Tl 0.195 0.940 0.621
6 Tl 0.805 0.060 0.379
7 Tl 0.695 0.060 0.879
8 Tl 0.305 0.940 0.121
9 Sn 0.226 0.138 0.455
10 Sn 0.774 0.862 0.545
11 Sn 0.726 0.862 0.045
12 Sn 0.274 0.138 0.955
13 Sn 0.486 0.818 0.449
14 Sn 0.514 0.182 0.551
15 Sn 0.986 0.182 0.051
16 Sn 0.014 0.818 0.949
17 Sn 0.988 0.682 0.603
18 Sn 0.012 0.318 0.397
19 Sn 0.488 0.318 0.897
20 Sn 0.512 0.682 0.103

---

--- 2 ---
Material: RbTlSn3
Method: DFT, GGA-PBE
State: optimized geometry

Results
- total moment (μB per cell) = 0.00

Lattice parameters (Å, degrees): 6.132 6.132 6.132 90.00 90.00 90.00
Fractional positions:
1 Tl 0.500 0.500 0.500
2 Sn 0.000 0.500 0.000
3 Sn 0.000 0.000 0.500
4 Sn 0.500 0.000 0.000
5 Rb 0.000 0.000 0.000

---

Name the most stable of them. 1.

---

--- 1 ---
Material: RbTlSn3
Method: DFT, GGA-PBE
State: optimized geometry

Results
- total moment (μB per cell) = 0.00

Lattice parameters (Å, degrees): 5.912 5.912 5.912 90.00 90.00 90.00
Fractional positions:
1 Tl 0.000 0.000 0.000
2 Sn 0.000 0.500 0.000
3 Sn 0.000 0.000 0.500
4 Sn 0.500 0.000 0.000
5 Rb 0.500 0.500 0.500

---

--- 2 ---
Material: RbTlSn3
Method: DFT, GGA-PBE
State: optimized geometry

Results
- total moment (μB per cell) = 0.00

Lattice parameters (Å, degrees): 6.270 7.092 8.698 114.06 90.00 90.00
Fractional positions:
1 Rb 0.250 0.408 0.817
2 Rb 0.750 0.592 0.183
3 Tl 0.000 0.000 0.000
4 Tl 0.500 0.000 0.000
5 Sn 0.250 0.813 0.626
6 Sn 0.750 0.187 0.374
7 Sn 0.250 0.383 0.352
8 Sn 0.750 0.617 0.648
9 Sn 0.250 0.969 0.352
10 Sn 0.750 0.031 0.648

---

Name the most stable of them. 2.

---

--- 1 ---
Material: Rb2Tl5Sn
Method: DFT, GGA-PBE
State: optimized geometry

Results
- total moment (μB per cell) = 0.00

Lattice parameters (Å, degrees): 5.702 5.702 9.559 107.35 107.35 90.00
Fractional positions:
1 Rb 0.754 0.754 0.508
2 Rb 0.246 0.246 0.492
3 Tl 0.500 0.500 0.000
4 Tl 0.900 0.400 0.800
5 Tl 0.400 0.900 0.800
6 Tl 0.100 0.600 0.200
7 Tl 0.600 0.100 0.200
8 Sn 0.000 0.000 0.000

---

--- 2 ---
Material: Rb2Tl5Sn
Method: DFT, GGA-PBE
State: optimized geometry

Results
- total moment (μB per cell) = 0.00

Lattice parameters (Å, degrees): 5.901 7.613 7.613 90.00 90.00 90.00
Fractional positions:
1 Rb 0.500 0.500 0.000
2 Rb 0.500 0.000 0.500
3 Tl 0.000 0.708 0.708
4 Tl 0.000 0.292 0.708
5 Tl 0.000 0.708 0.292
6 Tl 0.500 0.000 0.000
7 Tl 0.000 0.292 0.292
8 Sn 0.000 0.000 0.000

---

Name the most stable of them. 1.